1.
Here is an optimized crystal structure of PrSi3Pd3 from Alexandria. Energies are from PBE.

```
PrSi3Pd3
1.0
6.606 0.000 0.000
0.000 6.606 0.000
0.000 0.000 6.606
Pr Si Pd
2 6 6
direct
0.000 0.000 0.000
0.500 0.500 0.500
0.000 0.250 0.500
0.000 0.750 0.500
0.250 0.500 0.000
0.500 0.000 0.250
0.500 0.000 0.750
0.750 0.500 0.000
0.000 0.500 0.250
0.000 0.500 0.750
0.250 0.000 0.500
0.500 0.250 0.000
0.500 0.750 0.000
0.750 0.000 0.500
```

## Properties
* symmetry: No. 223
* E above lowest polymorph: 79 meV/atom
* magnetization: 0.0000 μB/atom
* DOS(E_F): 0.702 states/eV per atom
* E_form (uncorrected): -0.4528 eV per atom


2.
Here is an optimized crystal structure of LiTa3Se from Alexandria. Energies are from PBE.

```
LiTa3Se
1.0
4.763 0.000 0.000
0.000 4.763 0.000
0.000 0.000 4.763
Li Ta Se
1 3 1
direct
0.000 0.000 0.000
0.000 0.500 0.500
0.500 0.000 0.500
0.500 0.500 0.000
0.500 0.500 0.500
```

## Properties
* symmetry: No. 221
* E above lowest polymorph: 0 meV/atom
* magnetization: 0.0000 μB/atom
* DOS(E_F): 1.393 states/eV per atom
* E_form (uncorrected): 1.0309 eV per atom